4
Lattice="4.626 0.000 0.000 2.313 4.006 0.000 2.313 1.335 3.777" Properties=species:S:1:pos:R:3 comment="PBE-GGA LiPuIrPd, relaxed" n_ef_per_ev_fu=6.18 e_form_kj_per_mol_atoms=-32.8 total_energy_ev_per_cell=-31.66 total_magnetization_mub_per_fu=4.357 pbc="T T T"
Ir 6.939 4.006 2.833
Li 4.626 2.671 1.889
Pd 2.313 1.335 0.944
Pu 0.000 0.000 0.000